# 1
This record from Alexandria via LeMat-Bulk describes a relaxed Pm8PPb4Se3 crystal. The functional is GGA-PBE.

Calculated values
Energy relative to the elements, uncorrected = -1755 kJ/mol of formula units

```
Pm8PPb4Se3
1.0
8.481 0.000 0.000
0.000 8.976 0.337
-4.241 -4.245 6.004
Pm Se Pb P
8 3 4 1
direct
0.256 0.269 0.512 Pm
0.744 0.731 0.488 Pm
0.763 0.278 0.014 Pm
0.251 0.278 0.014 Pm
0.763 0.278 0.527 Pm
0.749 0.722 0.986 Pm
0.237 0.722 0.473 Pm
0.237 0.722 0.986 Pm
0.500 0.500 0.000 Se
0.500 0.500 0.500 Se
0.000 0.500 0.500 Se
0.500 0.000 0.500 Pb
0.000 0.000 0.500 Pb
0.500 0.000 0.000 Pb
0.000 0.000 0.000 Pb
0.000 0.500 0.000 P
```

***

# 2
This record from Alexandria via LeMat-Bulk describes a relaxed CsTe3W crystal. The functional is GGA-PBE.

Calculated values
Energy relative to the elements, uncorrected = 1068 kJ/mol of formula units
Energy relative to the lowest polymorph listed for this composition = 2.1847 eV/atom

```
CsTe3W
1.0
6.335 0.000 0.000
0.000 6.335 0.000
0.000 0.000 6.335
W Te Cs
1 3 1
direct
0.500 0.500 0.500 W
0.000 0.500 0.000 Te
0.000 0.000 0.500 Te
0.500 0.000 0.000 Te
0.000 0.000 0.000 Cs
```

***

# 3
This record from Alexandria via LeMat-Bulk describes a relaxed KTa2Ni crystal. The functional is GGA-PBE.

Calculated values
ΔH_f (0 K) = 62.9 kJ/mol of atoms
Energy relative to the lowest polymorph listed for this composition = 0.1548 eV/atom

```
KTa2Ni
1.0
-1.934 -1.339 1.547
-0.127 -2.047 -1.929
7.484 -5.111 4.931
K Ni Ta
1 1 2
direct
0.500 0.500 0.250 K
0.500 0.500 0.750 Ni
0.000 0.000 0.924 Ta
0.000 0.000 0.576 Ta
```

***

# 4
This record from Alexandria via LeMat-Bulk describes a relaxed Co2TcCl crystal. The functional is GGA-PBE.

Calculated values
Energy relative to the elements, uncorrected = 282 kJ/mol of formula units
Energy relative to the lowest polymorph listed for this composition = 0.4355 eV/atom

```
Co2TcCl
1.0
-4.606 0.619 -0.884
1.197 -1.898 4.165
0.123 2.492 1.100
Co Cl Tc
2 1 1
direct
0.000 0.000 0.000 Co
0.500 0.500 0.000 Co
0.000 0.500 0.500 Cl
0.500 0.000 0.500 Tc
```

***

# 5
This record from Alexandria via LeMat-Bulk describes a relaxed YZrAu2 crystal. The functional is GGA-PBE.

Calculated values
ΔH_f (0 K) = -27.5 kJ/mol of atoms
Energy relative to the lowest polymorph listed for this composition = 0.3609 eV/atom

```
YZrAu2
1.0
4.886 0.000 0.000
2.443 4.231 0.000
2.443 1.410 3.989
Y Zr Au
1 1 2
direct
0.500 0.500 0.500 Y
0.750 0.750 0.750 Zr
0.000 0.000 0.000 Au
0.250 0.250 0.250 Au
```

***

# 6
This record from Alexandria via LeMat-Bulk describes a relaxed Y2ErNpP4 crystal. The functional is GGA-PBE.

Calculated values
ΔH_f (0 K) = -137.8 kJ/mol of atoms

```
Y2ErNpP4
1.0
-1.783 2.592 2.437
-5.268 -4.375 0.800
4.767 -1.259 4.827
Y Er P Np
2 1 4 1
direct
0.000 0.500 0.500 Y
0.500 0.000 0.500 Y
0.000 0.000 0.000 Er
0.500 0.749 0.755 P
0.000 0.254 0.756 P
0.500 0.251 0.245 P
0.000 0.746 0.244 P
0.500 0.500 0.000 Np
```

***

Record order is preserved below.
E_tot: -5.43, -2.43, -6.99, -5.88, -5.68, -7.94 eV per atom
Record order is preserved below.
Volume: 29.328, 50.841, 20.441, 13.523, 20.617, 22.327 Å³ per atom